Record 1
4
Lattice="-3.015 4.055 0.317 -0.532 -0.790 5.043 4.088 2.969 0.897" Properties=species:S:1:pos:R:3 comment="La2CeEr PBE optimized geometry" crystal_system=tetragonal total_magnetization_mub_per_cell=0.96 space_group="P4/mmm, No. 123" pbc="T T T"
Ce 0.271 3.117 3.128
Er -1.507 2.027 0.158
La 2.044 1.485 0.448
La -0.266 -0.395 2.521


Record 2
4
Lattice="5.799 0.000 0.000 2.900 5.022 0.000 2.900 1.674 4.735" Properties=species:S:1:pos:R:3 comment="La2CeEr PBE optimized geometry" crystal_system=cubic total_magnetization_mub_per_cell=3.10 space_group="Fm-3m, No. 225" pbc="T T T"
Ce 5.799 3.348 2.367
La 2.900 1.674 1.184
La 8.699 5.022 3.551
Er 0.000 0.000 0.000


Calculated total energy values (in eV/atom) by entry order: -5.01, -4.89.